Compound: LiGa2HPt
Source: the Alexandria database
Functional: PBE
Structure: relaxed

The size of the total moment is 0.0 μB per cell. As for the calculated total energy: -3.76 eV/atom. As for the crystal system: tetragonal. For the density of states at the Fermi level, the calculation gives 0.338 states/eV per atom.

The structure belongs to space group P4/mmm (No. 123); the cell edges are 4.210, 4.210 and 3.517 Å and the angles 90.00°, 90.00° and 90.00°. The asymmetric unit holds Li at (0.000, 0.000, 0.000), Ga at (0.000, 0.500, 0.500), H at (0.000, 0.000, 0.500) and Pt at (0.500, 0.500, 0.000).